The following is a DFT calculation (PBE) of a geometry-optimized Ac2ZnHg structure. Values from VASP.

Crystal system ... tetragonal
ΔH_f (0 K) ... -372 meV/atom
Raw total energy ... -11.26 eV/f.u.

Cell and atoms, written as Quantum ESPRESSO input:
```
&SYSTEM
  ibrav = 0, nat = 4, ntyp = 3
/
ATOMIC_SPECIES
Ac 227.00 Ac.upf
Hg 200.59 Hg.upf
Zn 65.41 Zn.upf
CELL_PARAMETERS angstrom
3.973 0.000 0.000
0.000 3.973 0.000
0.000 0.000 7.937
ATOMIC_POSITIONS crystal
Ac 0.000 0.000 0.236
Ac 0.000 0.000 0.764
Hg 0.500 0.500 0.500
Zn 0.500 0.500 0.000
```